[1]
La6TbHg | PBE | relaxed

Calculated values
Its total magnetization is 0.0 μB/f.u. The calculation puts the formation enthalpy at 0 K at 0.28 eV/atom.

Cell: 6.6787 6.7024 9.1142 Å, 68.37 68.74 59.99°
With the nearest neighbours (Å) after each atom.
Fractional positions:
La 0.0392 0.4344 0.7207  1 Hg 3.14, 1 Tb 3.15
Tb 0.5000 0.5000 0.5000  6 La 3.14-3.15
La 0.1987 0.9641 0.2774  1 Hg 3.14, 1 Tb 3.14, 1 La 3.51
La 0.9608 0.5656 0.2793  1 Hg 3.14, 1 Tb 3.15
La 0.8013 0.0359 0.7226  1 Hg 3.14, 1 Tb 3.14, 1 La 3.51
Hg 0.0000 0.0000 0.0000  6 La 3.14
La 0.5655 0.1989 0.2772  1 Hg 3.14, 1 Tb 3.14, 1 La 3.51
La 0.4345 0.8011 0.7228  1 Hg 3.14, 1 Tb 3.14, 1 La 3.51


[2]
Nd2LuAl | PBE | relaxed

Calculated values
Its total magnetization is 0.0 μB/f.u. The calculation puts the formation enthalpy at 0 K at -0.08 eV/atom.

Cell: 5.4272 5.4272 5.4272 Å, 60.00 60.00 60.00°
With the nearest neighbours (Å) after each atom.
Fractional positions:
Nd 0.7500 0.7500 0.7500  4 Lu 3.32, 4 Al 3.32
Nd 0.2500 0.2500 0.2500  4 Al 3.32, 4 Lu 3.32
Al 0.0000 0.0000 0.0000  8 Nd 3.32
Lu 0.5000 0.5000 0.5000  8 Nd 3.32


[3]
Rb2Tl5Bi2 | PBE | relaxed

Calculated values
Its total magnetization is 0.0 μB/f.u. The calculation puts the formation enthalpy at 0 K at -0.11 eV/atom.

Cell: 5.2688 5.2688 12.2584 Å, 90.00 90.00 90.00°
With the nearest neighbours (Å) after each atom.
Fractional positions:
Tl 0.0000 0.5000 0.2853  2 Bi 3.25
Tl 0.5000 0.5000 0.5000  8 Tl 3.72, 4 Rb 3.73
Tl 0.0000 0.5000 0.7147  2 Bi 3.25
Tl 0.5000 0.0000 0.2853  2 Bi 3.25
Rb 0.0000 0.0000 0.0000  8 Bi 4.05, 8 Tl 4.38
Rb 0.0000 0.0000 0.5000  12 Tl 3.72-3.73
Bi 0.5000 0.5000 0.1305  1 Bi 3.20, 4 Tl 3.25
Bi 0.5000 0.5000 0.8695  1 Bi 3.20, 4 Tl 3.25
Tl 0.5000 0.0000 0.7147  2 Bi 3.25


Which of these has the highest formation enthalpy at 0 K?
La6TbHg


Which value of formation enthalpy at 0 K does entry 2 give?
-0.08 eV/atom


Copy entry 3 word for word.
Rb2Tl5Bi2 | PBE | relaxed

Calculated values
Its total magnetization is 0.0 μB/f.u. The calculation puts the formation enthalpy at 0 K at -0.11 eV/atom.

Cell: 5.2688 5.2688 12.2584 Å, 90.00 90.00 90.00°
With the nearest neighbours (Å) after each atom.
Fractional positions:
Tl 0.0000 0.5000 0.2853  2 Bi 3.25
Tl 0.5000 0.5000 0.5000  8 Tl 3.72, 4 Rb 3.73
Tl 0.0000 0.5000 0.7147  2 Bi 3.25
Tl 0.5000 0.0000 0.2853  2 Bi 3.25
Rb 0.0000 0.0000 0.0000  8 Bi 4.05, 8 Tl 4.38
Rb 0.0000 0.0000 0.5000  12 Tl 3.72-3.73
Bi 0.5000 0.5000 0.1305  1 Bi 3.20, 4 Tl 3.25
Bi 0.5000 0.5000 0.8695  1 Bi 3.20, 4 Tl 3.25
Tl 0.5000 0.0000 0.7147  2 Bi 3.25


formation enthalpy at 0 K of number 3 (Rb2Tl5Bi2)?
-0.11 eV/atom